Here is a relaxed Y3PuSc2Te6 crystal from the Alexandria database. Energies are from PBE.

Structure (POSCAR):
```
Y3PuSc2Te6
1.0
-2.905 3.138 0.302
-4.506 -4.719 5.688
7.353 3.372 5.267
Te Sc Y Pu
6 2 3 1
Direct
0.004 0.255 0.008 Te
0.996 0.745 0.992 Te
0.330 0.906 0.660 Te
0.670 0.094 0.340 Te
0.672 0.574 0.345 Te
0.328 0.426 0.655 Te
0.838 0.676 0.677 Sc
0.162 0.324 0.323 Sc
0.500 0.500 0.000 Y
0.838 0.168 0.676 Y
0.162 0.832 0.324 Y
0.500 0.000 0.000 Pu
```

Summary:
SG: C2/m, No. 12


Here is a relaxed Y3Pu2ScTe6 crystal from the Alexandria database. Energies are from PBE.

Structure (POSCAR):
```
Y3Pu2ScTe6
1.0
4.339 0.000 0.000
0.000 8.739 0.282
-2.170 -2.549 9.154
Sc Te Pu Y
1 6 2 3
Direct
0.500 0.000 0.000 Sc
0.666 0.585 0.332 Te
0.334 0.415 0.668 Te
0.996 0.239 0.993 Te
0.661 0.077 0.322 Te
0.004 0.761 0.007 Te
0.339 0.923 0.678 Te
0.165 0.331 0.330 Pu
0.835 0.669 0.670 Pu
0.171 0.835 0.342 Y
0.500 0.500 0.000 Y
0.829 0.165 0.658 Y
```

Summary:
SG: C2/m, No. 12


Here is a relaxed PuTh4Sc5 crystal from the Alexandria database. Energies are from PBE.

Structure (POSCAR):
```
PuTh4Sc5
1.0
5.827 0.008 2.335
2.902 5.393 1.177
-1.163 -0.017 8.331
Th Sc Pu
4 5 1
Direct
0.533 0.323 0.672 Th
0.638 0.688 0.335 Th
0.856 0.677 0.672 Th
0.325 0.313 0.335 Th
0.762 0.425 0.001 Sc
0.316 0.000 0.992 Sc
0.966 0.000 0.319 Sc
0.186 0.575 0.001 Sc
0.165 0.000 0.671 Sc
0.742 0.000 0.003 Pu
```

Summary:
SG: Cm, No. 8


Here is a relaxed PuTh2Sc8 crystal from the Alexandria database. Energies are from PBE.

Structure (POSCAR):
```
PuTh2Sc8
1.0
-1.908 -4.336 -0.569
6.636 -2.696 -1.709
0.338 1.342 8.647
Th Sc Pu
2 8 1
Direct
0.226 0.640 0.452 Th
0.774 0.360 0.548 Th
0.410 0.549 0.820 Sc
0.322 0.093 0.645 Sc
0.590 0.451 0.180 Sc
0.958 0.269 0.915 Sc
0.042 0.731 0.085 Sc
0.678 0.907 0.355 Sc
0.865 0.823 0.730 Sc
0.135 0.177 0.270 Sc
0.500 0.000 0.000 Pu
```

Summary:
Energy relative to the lowest polymorph listed for this composition, eV per atom: 0.0000
SG: C2/m, No. 12


Here is a relaxed PuTh2Sc8 crystal from the Alexandria database. Energies are from PBE.

Structure (POSCAR):
```
PuTh2Sc8
1.0
-5.143 -0.490 -3.865
-2.064 -4.650 3.336
-1.110 7.169 3.760
Th Sc Pu
2 8 1
Direct
0.326 0.244 0.488 Th
0.674 0.756 0.512 Th
0.391 0.813 0.146 Sc
0.609 0.187 0.854 Sc
0.203 0.819 0.638 Sc
0.391 0.334 0.146 Sc
0.946 0.598 0.196 Sc
0.054 0.402 0.804 Sc
0.609 0.666 0.854 Sc
0.797 0.181 0.362 Sc
0.000 0.000 0.000 Pu
```

Summary:
Energy relative to the lowest polymorph listed for this composition, eV per atom: 0.1470
SG: C2/m, No. 12


Here is a relaxed PuThSc3 crystal from the Alexandria database. Energies are from PBE.

Structure (POSCAR):
```
PuThSc3
1.0
5.355 0.439 0.827
0.000 5.809 -3.082
1.390 0.778 8.482
Th Sc Pu
2 6 2
Direct
0.986 0.764 0.529 Th
0.014 0.236 0.471 Th
0.600 0.886 0.300 Sc
0.400 0.586 0.700 Sc
0.000 0.000 0.000 Sc
0.600 0.414 0.300 Sc
0.500 0.000 0.000 Sc
0.400 0.114 0.700 Sc
0.803 0.447 0.894 Pu
0.197 0.553 0.106 Pu
```

Summary:
SG: Imma, No. 74


Here is a relaxed PuThSc14 crystal from the Alexandria database. Energies are from PBE.

Structure (POSCAR):
```
PuThSc14
1.0
-3.322 -2.887 -4.862
5.643 -1.935 -2.724
-0.333 -7.872 4.902
Sc Th Pu
14 1 1
Direct
0.875 0.625 0.500 Sc
0.126 0.874 0.749 Sc
0.624 0.376 0.749 Sc
0.875 0.125 0.500 Sc
0.375 0.625 0.500 Sc
0.624 0.874 0.749 Sc
0.375 0.125 0.500 Sc
0.624 0.874 0.251 Sc
0.126 0.376 0.251 Sc
0.126 0.874 0.251 Sc
0.375 0.125 0.000 Sc
0.126 0.376 0.749 Sc
0.875 0.625 0.000 Sc
0.624 0.376 0.251 Sc
0.875 0.125 0.000 Th
0.375 0.625 0.000 Pu
```

Summary:
SG: Cmmm, No. 65


Here is a relaxed PuTh3Sc8 crystal from the Alexandria database. Energies are from PBE.

Structure (POSCAR):
```
PuTh3Sc8
1.0
7.814 -0.226 -0.359
-3.300 7.087 0.359
-3.300 -2.745 6.544
Th Sc Pu
3 8 1
Direct
0.500 0.750 0.250 Th
0.500 0.250 0.750 Th
0.000 0.500 0.500 Th
0.000 0.892 0.642 Sc
0.000 0.812 0.263 Sc
0.750 0.108 0.108 Sc
0.450 0.188 0.188 Sc
0.000 0.263 0.812 Sc
0.550 0.737 0.737 Sc
0.000 0.642 0.892 Sc
0.250 0.358 0.358 Sc
0.000 0.000 0.000 Pu
```

Summary:
SG: I-42m, No. 121


| no. | mass density (g cm⁻³) | total energy (eV/atom) | magnetization (μB per cell) |
| --- | --- | --- | --- |
| 1 | 6.7 | -6.652 | 6.31 |
| 2 | 7.4 | -7.322 | 12.16 |
| 3 | 8.4 | -7.429 | 5.69 |
| 4 | 6.2 | -7.197 | 7.19 |
| 5 | 6.2 | -7.050 | 5.59 |
| 6 | 7.6 | -7.923 | 13.40 |
| 7 | 4.6 | -6.844 | 6.31 |
| 8 | 6.1 | -6.610 | 6.10 |